Entry 1:
# meta-GGA SCAN Cd4Te3Se, single point on PBEsol structure
data_Cd4Te3Se
_chemical_formula_sum 'Cd12 Te9 Se3'
_cell_length_a 4.5153
_cell_length_b 4.5153
_cell_length_c 44.2359
_cell_angle_alpha 90.00
_cell_angle_beta 90.00
_cell_angle_gamma 120.00
_space_group_name_H-M_alt 'R 3 m'
_space_group_IT_number 160
_space_group_name_Hall 'R 3 -2"'
loop_
_atom_site_label
_atom_site_type_symbol
_atom_site_fract_x
_atom_site_fract_y
_atom_site_fract_z
Cd1 Cd 0.0000 0.0000 0.0000
Cd2 Cd 0.0000 0.0000 0.2474
Cd3 Cd 0.0000 0.0000 0.4950
Cd4 Cd 0.0000 0.0000 0.7427
Te1 Te 0.0000 0.0000 0.1841
Te2 Te 0.0000 0.0000 0.4317
Te3 Te 0.0000 0.0000 0.9364
Se1 Se 0.0000 0.0000 0.6831
# - polymorph energy (0 for the lowest one) (eV/atom) = 0.005
# - ΔE_f (raw) (eV per atom) = -0.529
# - total magnetic moment (μB/cell) = 0.0


Entry 2:
# meta-GGA SCAN ZrFe2GePb, single point on PBEsol structure
data_ZrFe2GePb
_chemical_formula_sum 'Zr1 Fe2 Ge1 Pb1'
_cell_length_a 4.707
_cell_length_b 4.707
_cell_length_c 5.404
_cell_angle_alpha 90.00
_cell_angle_beta 90.00
_cell_angle_gamma 90.00
_space_group_name_H-M_alt 'P 4/m m m'
_space_group_IT_number 123
_space_group_name_Hall '-P 4 2'
loop_
_atom_site_label
_atom_site_type_symbol
_atom_site_fract_x
_atom_site_fract_y
_atom_site_fract_z
Zr1 Zr 0.000 0.000 0.000
Fe1 Fe 0.000 0.500 0.500
Ge1 Ge 0.500 0.500 0.000
Pb1 Pb 0.000 0.000 0.500
# - total magnetic moment (μB/cell) = 5.8
# - ΔE_f (eV per atom) = 1.229


Entry 3:
# meta-GGA SCAN Re3GeMo, single point on PBEsol structure
data_Re3GeMo
_chemical_formula_sum 'Re3 Ge1 Mo1'
_cell_length_a 4.665
_cell_length_b 4.665
_cell_length_c 4.665
_cell_angle_alpha 90.00
_cell_angle_beta 90.00
_cell_angle_gamma 90.00
_space_group_name_H-M_alt 'P m -3 m'
_space_group_IT_number 221
_space_group_name_Hall '-P 4 2 3'
loop_
_atom_site_label
_atom_site_type_symbol
_atom_site_fract_x
_atom_site_fract_y
_atom_site_fract_z
Re1 Re 0.000 0.000 0.500
Ge1 Ge 0.500 0.500 0.500
Mo1 Mo 0.000 0.000 0.000
# - total magnetic moment (μB/cell) = 1.9
# - ΔE_f (eV per atom) = 2.350


Entry 4:
# meta-GGA SCAN BaNi2Sb, single point on PBEsol structure
data_BaNi2Sb
_chemical_formula_sum 'Ba3 Ni6 Sb3'
_cell_length_a 4.3207
_cell_length_b 4.3207
_cell_length_c 16.5228
_cell_angle_alpha 90.00
_cell_angle_beta 90.00
_cell_angle_gamma 120.00
_space_group_name_H-M_alt 'R -3 m'
_space_group_IT_number 166
_space_group_name_Hall '-R 3 2"'
loop_
_atom_site_label
_atom_site_type_symbol
_atom_site_fract_x
_atom_site_fract_y
_atom_site_fract_z
Ba1 Ba 0.0000 0.0000 0.0000
Ni1 Ni 0.0000 0.0000 0.1872
Sb1 Sb 0.0000 0.0000 0.5000
# - ΔE_f (raw) (eV per atom) = -0.401
# - total magnetic moment (μB/cell) = 0.0